# SCAN Nd2Ti2O7, single point on PBEsol structure
data_Nd2Ti2O7
_chemical_formula_sum 'Nd4 Ti4 O14'
_space_group_name_H-M_alt 'P 1'
_space_group_IT_number 1
_space_group_name_Hall 'P 1'
_cell_length_a 7.264
_cell_length_b 7.264
_cell_length_c 7.264
_cell_angle_alpha 60.00
_cell_angle_beta 60.00
_cell_angle_gamma 60.00
loop_
_atom_site_label
_atom_site_fract_x
_atom_site_fract_y
_atom_site_fract_z
Nd1 0.000 0.000 0.000
Nd2 0.000 0.000 0.500
Nd3 0.000 0.500 0.000
Nd4 0.500 0.000 0.000
Ti1 0.000 0.500 0.500
Ti2 0.500 0.000 0.500
Ti3 0.500 0.500 0.000
Ti4 0.500 0.500 0.500
O1 0.125 0.125 0.125
O2 0.174 0.174 0.576
O3 0.174 0.576 0.174
O4 0.174 0.576 0.576
O5 0.424 0.424 0.826
O6 0.424 0.826 0.424
O7 0.424 0.826 0.826
O8 0.576 0.174 0.174
O9 0.576 0.174 0.576
O10 0.576 0.576 0.174
O11 0.826 0.424 0.424
O12 0.826 0.424 0.826
O13 0.826 0.826 0.424
O14 0.875 0.875 0.875
# **E_tot**: -0.676 Ha/atom
# **Raw formation energy**: -3586 meV per atom
# **DOS at the Fermi energy**: 0.000 states/eV/atom
# **Total magnetization**: 0.00 μB per atom